1.
Here is a PBEsol-optimized structure of Mn3Fe from Alexandria via LeMat-Bulk. Energies are from meta-GGA SCAN.

Cell and atoms, written as POSCAR:
```
Mn3Fe
1.0
4.3449 0.0000 0.0000
0.0000 4.3449 0.0000
0.0000 0.0000 4.3449
Mn Fe
6 2
Cartesian
0.0000 1.0862 2.1725
0.0000 3.2587 2.1725
1.0862 2.1725 0.0000
2.1725 0.0000 1.0862
2.1725 0.0000 3.2587
3.2587 2.1725 0.0000
0.0000 0.0000 0.0000
2.1725 2.1725 2.1725
```

Computed properties:
- Uncorrected energy: -18.0649 eV/atom
- Size of the total moment: 3.29 μB/f.u.
- Symmetry: Pm-3n (223)

2.
Here is a PBEsol-optimized structure of MnFe8 from Alexandria via LeMat-Bulk. Energies are from meta-GGA SCAN.

Cell and atoms, written as POSCAR:
```
MnFe8
1.0
-3.6539 3.6539 1.7146
3.6539 -3.6539 1.7146
3.6539 3.6539 -1.7146
Mn Fe
1 8
Cartesian
0.0000 0.0000 0.0000
2.4092 0.0000 0.0000
4.8986 0.0000 0.0000
0.0000 2.4092 0.0000
2.4539 2.4539 0.0000
1.2000 -1.2000 1.7146
-1.2000 1.2000 1.7146
1.2000 1.2000 1.7146
0.0000 4.8986 0.0000
```

Computed properties:
- Uncorrected energy: -17.9725 eV/atom
- Size of the total moment: 14.67 μB/f.u.
- Symmetry: I4/mmm (139)

3.
Here is a PBEsol-optimized structure of Mn3Fe from Alexandria via LeMat-Bulk. Energies are from meta-GGA SCAN.

Cell and atoms, written as POSCAR:
```
Mn3Fe
1.0
-1.7384 1.7384 3.4439
1.7384 -1.7384 3.4439
1.7384 1.7384 -3.4439
Mn Fe
3 1
Cartesian
0.0000 0.0000 0.0000
1.7384 0.0000 1.7220
0.0000 1.7384 1.7220
0.0000 0.0000 3.4439
```

Computed properties:
- Uncorrected energy: -18.2492 eV/atom
- Size of the total moment: 0.32 μB/f.u.
- Symmetry: I4/mmm (139)

4.
Here is a PBEsol-optimized structure of Mn3Fe from Alexandria via LeMat-Bulk. Energies are from meta-GGA SCAN.

Cell and atoms, written as POSCAR:
```
Mn3Fe
1.0
2.4570 0.0000 0.0000
0.0000 3.4469 0.0000
0.0000 0.0000 4.9178
Mn Fe
3 1
Cartesian
0.0000 0.0000 0.0000
1.2285 1.7235 1.2387
1.2285 1.7235 3.6791
0.0000 0.0000 2.4589
```

Computed properties:
- Uncorrected energy: -18.2419 eV/atom
- Size of the total moment: 0.34 μB/f.u.
- Symmetry: Pmmm (47)